A relaxed structure of HfPa2Mo. Source: Alexandria, functional GGA-PBE.

Lattice parameters (Å, degrees): 3.2600 3.2600 29.3616 90.00 90.00 120.00
Space group R-3m (No. 166, hexagonal axes)
One atom of each set of equivalent atoms:
Hf  0.0000  0.0000  0.0000 [3 per cell]
Pa  0.0000  0.0000  0.2431 [6 per cell]
Mo  0.0000  0.0000  0.5000 [3 per cell]

Output
Its formation energy is 306 meV/atom. Its density is 13.576 g/cm³. The calculation puts the polymorph energy (0 for the lowest one) at 8.7 kJ per mole of atoms. As for the electronic total energy: -9.64 eV/atom.


A relaxed structure of Hf2PaMo. Source: Alexandria, functional GGA-PBE.

Lattice parameters (Å, degrees): 3.1518 3.1518 30.5813 90.00 90.00 120.00
Space group R-3m (No. 166, hexagonal axes)
One atom of each set of equivalent atoms:
Hf  0.0000  0.0000  0.0989 [6 per cell]
Pa  0.0000  0.0000  0.0000 [3 per cell]
Mo  0.0000  0.0000  0.5000 [3 per cell]

Output
Its formation energy is 310 meV/atom. Its density is 12.951 g/cm³. The calculation puts the polymorph energy (0 for the lowest one) at 23.8 kJ per mole of atoms. As for the electronic total energy: -9.75 eV/atom.


A relaxed structure of Hf2PaMo. Source: Alexandria, functional GGA-PBE.

Lattice parameters (Å, degrees): 3.2845 3.2845 7.9431 90.00 90.00 90.00
Space group P4/mmm (No. 123)
One atom of each set of equivalent atoms:
Hf  0.0000  0.0000  0.2044 [2 per cell]
Pa  0.5000  0.5000  0.5000 [1 per cell]
Mo  0.5000  0.5000  0.0000 [1 per cell]

Output
Its formation energy is 64 meV/atom. Its density is 13.254 g/cm³. The calculation puts the polymorph energy (0 for the lowest one) at 0.0 kJ per mole of atoms. As for the electronic total energy: -9.99 eV/atom.


Among the records above, which one has the lowest polymorph energy (0 for the lowest one)?
number 3